1.
LiY2Os: single point on PBEsol structure, meta-GGA SCAN.

a = 4.843 Å, b = 4.843 Å, c = 4.843 Å
α = 60.00°, β = 60.00°, γ = 60.00°
Fractional coordinates of all 4 atoms:
Y: 0.250 0.250 0.250
Y: 0.750 0.750 0.750
Os: 0.000 0.000 0.000
Li: 0.500 0.500 0.500

Values from the calculation:
- calculated volume (A^3/atom) = 20.08
- relative energy among the computed polymorphs (meV/atom) = 0
- E_form (eV per atom) = -0.30
- calculated density (g cm⁻³) = 7.8
- electronic total energy (Ry per atom) = -2.4098
- crystal system = cubic


2.
Li4YOs: single point on PBEsol structure, meta-GGA SCAN.

a = 5.054 Å, b = 5.054 Å, c = 5.054 Å
α = 60.00°, β = 60.00°, γ = 60.00°
Fractional coordinates of all 6 atoms:
Li: 0.379 0.379 0.379
Li: 0.379 0.379 0.862
Li: 0.862 0.379 0.379
Li: 0.379 0.862 0.379
Os: 0.750 0.750 0.750
Y: 0.000 0.000 0.000

Values from the calculation:
- calculated volume (A^3/atom) = 15.21
- E_form (eV per atom) = 0.22
- calculated density (g cm⁻³) = 5.6
- electronic total energy (Ry per atom) = -1.3222
- crystal system = cubic


What did the second record say?
Li4YOs: single point on PBEsol structure, meta-GGA SCAN.

a = 5.054 Å, b = 5.054 Å, c = 5.054 Å
α = 60.00°, β = 60.00°, γ = 60.00°
Fractional coordinates of all 6 atoms:
Li: 0.379 0.379 0.379
Li: 0.379 0.379 0.862
Li: 0.862 0.379 0.379
Li: 0.379 0.862 0.379
Os: 0.750 0.750 0.750
Y: 0.000 0.000 0.000

Values from the calculation:
- calculated volume (A^3/atom) = 15.21
- E_form (eV per atom) = 0.22
- calculated density (g cm⁻³) = 5.6
- electronic total energy (Ry per atom) = -1.3222
- crystal system = cubic